[1]
First-principles (PBE) data for a geometry-optimized CsZnSnAu3 structure, as listed in Alexandria.

Output
- crystal system = triclinic
- V (Å³ per atom) = 27.19
- formation energy from the elements (eV/atom) = -0.275
- magnetic moment (μB/cell) = 0.00
- symmetry = No. 2
- density of states at the Fermi level (states/eV per atom) = 0.226

abc: 7.116 7.123 7.226
angles: 85.68 84.49 63.60
Fractional coordinates of all 12 atoms:
Cs (0.013, 0.309, 0.251)
Cs (0.987, 0.691, 0.749)
Zn (0.460, 0.457, 0.207)
Zn (0.540, 0.543, 0.793)
Sn (0.343, 0.024, 0.718)
Sn (0.657, 0.976, 0.282)
Au (0.087, 0.787, 0.244)
Au (0.466, 0.805, 0.055)
Au (0.470, 0.717, 0.453)
Au (0.530, 0.283, 0.547)
Au (0.534, 0.195, 0.945)
Au (0.913, 0.213, 0.756)


[2]
First-principles (PBE) data for a geometry-optimized CsSr2Au2 structure, as listed in Alexandria.

Output
- crystal system = tetragonal
- V (Å³ per atom) = 45.04
- formation energy from the elements (eV/atom) = -0.379
- magnetic moment (μB/cell) = 0.00
- symmetry = No. 139
- density of states at the Fermi level (states/eV per atom) = 0.583

abc: 5.856 5.856 13.134
angles: 90.00 90.00 90.00
Fractional coordinates of all 10 atoms:
Cs (0.000, 0.000, 0.000)
Cs (0.500, 0.500, 0.500)
Sr (0.000, 0.000, 0.333)
Sr (0.000, 0.000, 0.667)
Sr (0.500, 0.500, 0.167)
Sr (0.500, 0.500, 0.833)
Au (0.000, 0.500, 0.250)
Au (0.000, 0.500, 0.750)
Au (0.500, 0.000, 0.250)
Au (0.500, 0.000, 0.750)


[3]
First-principles (PBE) data for a geometry-optimized CsSr3Au structure, as listed in Alexandria.

Output
- crystal system = cubic
- V (Å³ per atom) = 54.90
- formation energy from the elements (eV/atom) = 1.052
- magnetic moment (μB/cell) = 3.91
- symmetry = No. 221
- energy above the lowest structure with this stoichiometry (eV/atom) = 1.325
- density of states at the Fermi level (states/eV per atom) = 0.921

abc: 6.499 6.499 6.499
angles: 90.00 90.00 90.00
Fractional coordinates of all 5 atoms:
Cs (0.000, 0.000, 0.000)
Sr (0.000, 0.000, 0.500)
Sr (0.000, 0.500, 0.000)
Sr (0.500, 0.000, 0.000)
Au (0.500, 0.500, 0.500)


[4]
First-principles (PBE) data for a geometry-optimized CsSrAu2 structure, as listed in Alexandria.

Output
- crystal system = trigonal
- V (Å³ per atom) = 39.59
- formation energy from the elements (eV/atom) = -0.439
- magnetic moment (μB/cell) = 0.00
- symmetry = No. 160
- energy above the lowest structure with this stoichiometry (eV/atom) = 0.096
- density of states at the Fermi level (states/eV per atom) = 0.444

abc: 4.610 4.610 25.814
angles: 90.00 90.00 120.00
Fractional coordinates of all 12 atoms:
Cs (0.000, 0.000, 0.000)
Cs (0.333, 0.667, 0.667)
Cs (0.667, 0.333, 0.333)
Sr (0.000, 0.000, 0.171)
Sr (0.333, 0.667, 0.837)
Sr (0.667, 0.333, 0.504)
Au (0.000, 0.000, 0.571)
Au (0.000, 0.000, 0.769)
Au (0.333, 0.667, 0.237)
Au (0.333, 0.667, 0.436)
Au (0.667, 0.333, 0.102)
Au (0.667, 0.333, 0.904)


[5]
First-principles (PBE) data for a geometry-optimized CsSr2Au structure, as listed in Alexandria.

Output
- crystal system = trigonal
- V (Å³ per atom) = 56.76
- formation energy from the elements (eV/atom) = -0.320
- magnetic moment (μB/cell) = 0.00
- symmetry = No. 166
- energy above the lowest structure with this stoichiometry (eV/atom) = 0.000
- density of states at the Fermi level (states/eV per atom) = 0.832

abc: 4.613 4.613 36.967
angles: 90.00 90.00 120.00
Fractional coordinates of all 12 atoms:
Cs (0.000, 0.000, 0.000)
Cs (0.333, 0.667, 0.667)
Cs (0.667, 0.333, 0.333)
Sr (0.000, 0.000, 0.121)
Sr (0.000, 0.000, 0.879)
Sr (0.333, 0.667, 0.545)
Sr (0.333, 0.667, 0.788)
Sr (0.667, 0.333, 0.212)
Sr (0.667, 0.333, 0.455)
Au (0.000, 0.000, 0.500)
Au (0.333, 0.667, 0.167)
Au (0.667, 0.333, 0.833)


[6]
First-principles (PBE) data for a geometry-optimized CsSr2Au structure, as listed in Alexandria.

Output
- crystal system = tetragonal
- V (Å³ per atom) = 53.31
- formation energy from the elements (eV/atom) = -0.164
- magnetic moment (μB/cell) = 0.00
- symmetry = No. 122
- energy above the lowest structure with this stoichiometry (eV/atom) = 0.155
- density of states at the Fermi level (states/eV per atom) = 0.696

abc: 10.528 10.528 7.695
angles: 90.00 90.00 90.00
Fractional coordinates of all 16 atoms:
Cs (0.000, 0.000, 0.000)
Cs (0.000, 0.500, 0.250)
Cs (0.500, 0.000, 0.750)
Cs (0.500, 0.500, 0.500)
Sr (0.134, 0.750, 0.625)
Sr (0.250, 0.134, 0.375)
Sr (0.250, 0.366, 0.875)
Sr (0.366, 0.750, 0.125)
Sr (0.634, 0.250, 0.125)
Sr (0.750, 0.634, 0.875)
Sr (0.750, 0.866, 0.375)
Sr (0.866, 0.250, 0.625)
Au (0.000, 0.000, 0.500)
Au (0.000, 0.500, 0.750)
Au (0.500, 0.000, 0.250)
Au (0.500, 0.500, 0.000)


What did the fifth record say?
First-principles (PBE) data for a geometry-optimized CsSr2Au structure, as listed in Alexandria.

Output
- crystal system = trigonal
- V (Å³ per atom) = 56.76
- formation energy from the elements (eV/atom) = -0.320
- magnetic moment (μB/cell) = 0.00
- symmetry = No. 166
- energy above the lowest structure with this stoichiometry (eV/atom) = 0.000
- density of states at the Fermi level (states/eV per atom) = 0.832

abc: 4.613 4.613 36.967
angles: 90.00 90.00 120.00
Fractional coordinates of all 12 atoms:
Cs (0.000, 0.000, 0.000)
Cs (0.333, 0.667, 0.667)
Cs (0.667, 0.333, 0.333)
Sr (0.000, 0.000, 0.121)
Sr (0.000, 0.000, 0.879)
Sr (0.333, 0.667, 0.545)
Sr (0.333, 0.667, 0.788)
Sr (0.667, 0.333, 0.212)
Sr (0.667, 0.333, 0.455)
Au (0.000, 0.000, 0.500)
Au (0.333, 0.667, 0.167)
Au (0.667, 0.333, 0.833)